Density functional theory data (SCAN) for a crystal of CaMgCu2 relaxed with PBEsol.

Crystal system: monoclinic
DFT formation energy (eV per atom): -0.10
Magnetic moment (μB per formula unit): 0.000
Energy (eV per cell): -90.873
V (Å³/atom): 19.79

Cell lengths 7.6421, 4.3845, 5.3647 Å; angles 90.00, 118.28, 90.00 degrees
With the nearest neighbours (Å) after each atom.
Space group C2/m (No. 12)
Unique sites:
Ca 0.0000 0.0000 0.0000 x2  2 Cu 2.81
Mg 0.0000 0.5000 0.5000 x2  6 Cu 2.58
Cu 0.1990 0.0000 0.5957 x4  3 Mg 2.58, 3 Cu 2.69-2.71, 1 Ca 2.81

***

Density functional theory data (SCAN) for a crystal of LiSb2Rh relaxed with PBEsol.

Crystal system: orthorhombic
Excess energy over the best structure of this formula in the dataset (kJ/mol of formula units): 62
Magnetic moment (μB per formula unit): 0.000
Energy (eV per cell): -223.184
Formation energy from raw total energies (eV per atom): -0.23
V (Å³/atom): 18.23

Cell lengths 6.0968, 7.3630, 3.2481 Å; angles 90.00, 90.00, 90.00 degrees
With the nearest neighbours (Å) after each atom.
Space group Cmmm (No. 65)
Unique sites:
Li 0.0000 0.0000 0.0000 x2  8 Sb 2.89, 2 Rh 3.05
Sb 0.2500 0.2500 0.5000 x4  4 Li 2.89, 4 Rh 2.89, 2 Sb 3.05
Rh 0.0000 0.5000 0.0000 x2  8 Sb 2.89, 2 Li 3.05

***

Density functional theory data (SCAN) for a crystal of Co3W relaxed with PBEsol.

Crystal system: tetragonal
DFT formation energy (eV per atom): 0.16
Magnetic moment (μB per formula unit): 4.489
Energy (eV per cell): -120.942
V (Å³/atom): 11.62

Cell lengths 2.6158, 2.6158, 6.7913 Å; angles 90.00, 90.00, 90.00 degrees
With the nearest neighbours (Å) after each atom.
Space group P4/mmm (No. 123)
Unique sites:
Co 0.0000 0.0000 0.0000 x1  12 Co 2.41-2.62
Co 0.5000 0.5000 0.2276 x2  8 Co 2.41-2.62, 4 W 2.62
W 0.0000 0.0000 0.5000 x1  4 W 2.62, 8 Co 2.62

***

Density functional theory data (SCAN) for a crystal of BaLiMg2 relaxed with PBEsol.

Crystal system: cubic
Excess energy over the best structure of this formula in the dataset (kJ/mol of formula units): 11
DFT formation energy (eV per atom): 0.03
Magnetic moment (μB per formula unit): 0.798
Energy (eV per cell): -207.021
V (Å³/atom): 29.50

Cell lengths 7.7862, 7.7862, 7.7862 Å; angles 90.00, 90.00, 90.00 degrees
With the nearest neighbours (Å) after each atom.
Space group F-43m (No. 216)
Unique sites:
Ba 0.0000 0.0000 0.0000 x4  4 Li 3.37, 4 Mg 3.37
Li 0.2500 0.2500 0.7500 x4  4 Mg 3.37, 4 Ba 3.37
Mg 0.0000 0.0000 0.5000 x4  4 Mg 3.37, 4 Li 3.37
Mg 0.2500 0.2500 0.2500 x4  4 Ba 3.37, 4 Mg 3.37

***

Density functional theory data (SCAN) for a crystal of Ba2CaZrIn relaxed with PBEsol.

Crystal system: tetragonal
DFT formation energy (eV per atom): 0.96
Magnetic moment (μB per formula unit): 0.000
Energy (eV per cell): -148.073
V (Å³/atom): 39.55

Cell lengths 6.1236, 6.1236, 5.2735 Å; angles 90.00, 90.00, 90.00 degrees
With the nearest neighbours (Å) after each atom.
Space group P4/mmm (No. 123)
Unique sites:
Ba 0.0000 0.5000 0.0000 x2  2 Ca 3.06
Ca 0.0000 0.0000 0.0000 x1  2 Zr 2.64
Zr 0.0000 0.0000 0.5000 x1  2 Ca 2.64
In 0.5000 0.5000 0.5000 x1  8 Ba 4.04, 4 Zr 4.33

***

Density functional theory data (SCAN) for a crystal of TaHg2Rh relaxed with PBEsol.

Crystal system: monoclinic
Excess energy over the best structure of this formula in the dataset (kJ/mol of formula units): 8
DFT formation energy (eV per atom): 0.28
Magnetic moment (μB per formula unit): 0.000
Energy (eV per cell): -235.551
V (Å³/atom): 17.55

Cell lengths 2.8611, 4.6586, 5.3787 Å; angles 90.00, 101.78, 90.00 degrees
With the nearest neighbours (Å) after each atom.
Space group P2/m (No. 10)
Unique sites:
Ta 0.0000 0.0000 0.0000 x1  2 Rh 2.78, 2 Ta 2.86, 4 Hg 2.97
Hg 0.3311 0.5000 0.7416 x2  5 Hg 2.75-2.95, 2 Rh 2.76, 2 Ta 2.97
Rh 0.5000 0.0000 0.5000 x1  4 Hg 2.76, 2 Ta 2.78, 2 Rh 2.86

***

Density functional theory data (SCAN) for a crystal of Zn2FeCu relaxed with PBEsol.

Crystal system: orthorhombic
DFT formation energy (eV per atom): 0.04
Magnetic moment (μB per formula unit): 2.716
Energy (eV per cell): -120.424
V (Å³/atom): 12.32

Cell lengths 2.7099, 4.3195, 8.4229 Å; angles 90.00, 90.00, 90.00 degrees
With the nearest neighbours (Å) after each atom.
Space group Immm (No. 71)
Unique sites:
Zn 0.0000 0.0000 0.2462 x4  2 Cu 2.48, 2 Fe 2.53, 6 Zn 2.55-2.71
Fe 0.0000 0.5000 0.0000 x2  4 Zn 2.53, 4 Cu 2.55, 2 Fe 2.71
Cu 0.0000 0.5000 0.5000 x2  4 Zn 2.48, 4 Fe 2.55, 2 Cu 2.71

***

Density functional theory data (SCAN) for a crystal of LaZnAs2 relaxed with PBEsol.

Crystal system: cubic
DFT formation energy (eV per atom): -0.35
Magnetic moment (μB per formula unit): 0.000
Energy (eV per cell): -393.580
V (Å³/atom): 21.33

Cell lengths 6.9883, 6.9883, 6.9883 Å; angles 90.00, 90.00, 90.00 degrees
With the nearest neighbours (Å) after each atom.
Space group F-43m (No. 216)
Unique sites:
La 0.0000 0.0000 0.0000 x4  4 As 3.03, 4 Zn 3.03
Zn 0.2500 0.2500 0.7500 x4  4 As 3.03, 4 La 3.03
As 0.0000 0.0000 0.5000 x4  4 Zn 3.03, 4 As 3.03
As 0.2500 0.2500 0.2500 x4  4 As 3.03, 4 La 3.03

***

Density functional theory data (SCAN) for a crystal of ZnHgMo relaxed with PBEsol.

Crystal system: orthorhombic
DFT formation energy (eV per atom): 0.35
Magnetic moment (μB per formula unit): 0.000
Energy (eV per cell): -462.064
V (Å³/atom): 16.37

Cell lengths 3.6307, 4.1747, 12.9624 Å; angles 90.00, 90.00, 90.00 degrees
With the nearest neighbours (Å) after each atom.
Space group Fmm2 (No. 42)
Unique sites:
Zn 0.0000 0.0000 0.0000 x4  4 Mo 2.66-2.86, 4 Zn 2.77, 2 Hg 2.89
Hg 0.0000 0.0000 0.6731 x4  4 Hg 2.77, 4 Zn 2.89-3.06, 4 Mo 2.92-3.10
Mo 0.0000 0.0000 0.3495 x4  4 Zn 2.66-2.86, 4 Mo 2.77, 2 Hg 2.92

***

Density functional theory data (SCAN) for a crystal of La2ZnPt relaxed with PBEsol.

Crystal system: tetragonal
DFT formation energy (eV per atom): -0.82
Magnetic moment (μB per formula unit): 0.000
Energy (eV per cell): -173.190
V (Å³/atom): 24.22

Cell lengths 3.6843, 3.6843, 7.1383 Å; angles 90.00, 90.00, 90.00 degrees
With the nearest neighbours (Å) after each atom.
Space group P4/mmm (No. 123)
Unique sites:
La 0.0000 0.0000 0.2380 x2  4 Pt 3.11, 4 Zn 3.21, 1 La 3.40
Zn 0.5000 0.5000 0.5000 x1  8 La 3.21, 2 Pt 3.57
Pt 0.5000 0.5000 0.0000 x1  8 La 3.11

***

Density functional theory data (SCAN) for a crystal of CdRh2Pb relaxed with PBEsol.

Crystal system: cubic
DFT formation energy (eV per atom): -0.05
Magnetic moment (μB per formula unit): 0.000
Energy (eV per cell): -695.716
V (Å³/atom): 16.76

Cell lengths 6.4485, 6.4485, 6.4485 Å; angles 90.00, 90.00, 90.00 degrees
With the nearest neighbours (Å) after each atom.
Space group Fm-3m (No. 225)
Unique sites:
Cd 0.0000 0.0000 0.0000 x4  8 Rh 2.79
Rh 0.2500 0.2500 0.2500 x8  4 Pb 2.79, 4 Cd 2.79
Pb 0.0000 0.0000 0.5000 x4  8 Rh 2.79

***

Density functional theory data (SCAN) for a crystal of La2CdSi relaxed with PBEsol.

Crystal system: tetragonal
Magnetic moment (μB per formula unit): 0.000
Energy (eV per cell): -128.578
Formation energy from raw total energies (eV per atom): -0.48
V (Å³/atom): 26.21

Cell lengths 5.1216, 5.1216, 3.9970 Å; angles 90.00, 90.00, 90.00 degrees
With the nearest neighbours (Å) after each atom.
Space group P4/mmm (No. 123)
Unique sites:
La 0.0000 0.5000 0.0000 x2  4 Cd 3.25, 4 Si 3.25, 4 La 3.62
Cd 0.0000 0.0000 0.5000 x1  8 La 3.25, 4 Si 3.62
Si 0.5000 0.5000 0.5000 x1  8 La 3.25, 4 Cd 3.62

***

What did the sixth record say?
Density functional theory data (SCAN) for a crystal of TaHg2Rh relaxed with PBEsol.

Crystal system: monoclinic
Excess energy over the best structure of this formula in the dataset (kJ/mol of formula units): 8
DFT formation energy (eV per atom): 0.28
Magnetic moment (μB per formula unit): 0.000
Energy (eV per cell): -235.551
V (Å³/atom): 17.55

Cell lengths 2.8611, 4.6586, 5.3787 Å; angles 90.00, 101.78, 90.00 degrees
With the nearest neighbours (Å) after each atom.
Space group P2/m (No. 10)
Unique sites:
Ta 0.0000 0.0000 0.0000 x1  2 Rh 2.78, 2 Ta 2.86, 4 Hg 2.97
Hg 0.3311 0.5000 0.7416 x2  5 Hg 2.75-2.95, 2 Rh 2.76, 2 Ta 2.97
Rh 0.5000 0.0000 0.5000 x1  4 Hg 2.76, 2 Ta 2.78, 2 Rh 2.86

***

Copy entry 6 word for word.
Density functional theory data (SCAN) for a crystal of TaHg2Rh relaxed with PBEsol.

Crystal system: monoclinic
Excess energy over the best structure of this formula in the dataset (kJ/mol of formula units): 8
DFT formation energy (eV per atom): 0.28
Magnetic moment (μB per formula unit): 0.000
Energy (eV per cell): -235.551
V (Å³/atom): 17.55

Cell lengths 2.8611, 4.6586, 5.3787 Å; angles 90.00, 101.78, 90.00 degrees
With the nearest neighbours (Å) after each atom.
Space group P2/m (No. 10)
Unique sites:
Ta 0.0000 0.0000 0.0000 x1  2 Rh 2.78, 2 Ta 2.86, 4 Hg 2.97
Hg 0.3311 0.5000 0.7416 x2  5 Hg 2.75-2.95, 2 Rh 2.76, 2 Ta 2.97
Rh 0.5000 0.0000 0.5000 x1  4 Hg 2.76, 2 Ta 2.78, 2 Rh 2.86

***

- What is the formula in the third record?
  Co3W